{
  "formula": "Ta2OsWF",
  "functional": "GGA+U",
  "state": "relaxed",
  "lattice_angstrom": [[-4.354, 1.785, 1.245], [-2.274, -3.844, -2.440], [0.084, -2.644, 4.086]],
  "species": ["F", "Os", "W", "Ta", "Ta"],
  "fractional_positions": [[0.500, 0.500, 0.500], [0.000, 0.000, 0.000], [0.000, 0.500, 0.000], [0.000, 0.000, 0.500], [0.500, 0.000, 0.000]],
  "total_energy_ev_per_atom": -7.558,
  "volume_a3_per_atom": 24.11,
  "magmom_total_mub_per_atom": 0.4091,
  "space_group": "No. 123"
}